Entry 1:
# LiGa2Bi2, optimized geometry, DFT PBE
# Relative energy among the computed polymorphs ... 12 kJ/mol of formula units
# Energy of formation ... 0.0006 eV/atom
# Volume ... 283 Å³ per cell
# Total magnetic moment ... 0.000 Bohr magnetons per cell
data_LiGa2Bi2
_chemical_formula_sum 'Li2 Ga4 Bi4'
_cell_length_a 4.402
_cell_length_b 4.402
_cell_length_c 14.630
_cell_angle_alpha 90.00
_cell_angle_beta 90.00
_cell_angle_gamma 90.00
_space_group_name_H-M_alt 'I 4/m m m'
_space_group_IT_number 139
_space_group_name_Hall '-I 4 2'
loop_
_atom_site_label
_atom_site_fract_x
_atom_site_fract_y
_atom_site_fract_z
Li1 0.000 0.000 0.000
Ga1 0.000 0.500 0.250
Bi1 0.000 0.000 0.386

***

Entry 2:
# CeYCdNi, optimized geometry, DFT PBE
# Energy of formation ... -0.1429 eV/atom
# Volume ... 380 Å³ per cell
# Total magnetic moment ... 2.466 Bohr magnetons per cell
data_CeYCdNi
_chemical_formula_sum 'Ce4 Y4 Cd4 Ni4'
_cell_length_a 7.243
_cell_length_b 7.243
_cell_length_c 7.243
_cell_angle_alpha 90.00
_cell_angle_beta 90.00
_cell_angle_gamma 90.00
_space_group_name_H-M_alt 'F -4 3 m'
_space_group_IT_number 216
_space_group_name_Hall 'F -4 2 3'
loop_
_atom_site_label
_atom_site_fract_x
_atom_site_fract_y
_atom_site_fract_z
Ce1 0.000 0.000 0.000
Y1 0.000 0.000 0.500
Cd1 0.250 0.250 0.750
Ni1 0.250 0.250 0.250

***

Entry 3:
# Re3Au, optimized geometry, DFT PBE
# Energy of formation ... 0.6026 eV/atom
# Volume ... 126 Å³ per cell
# Total magnetic moment ... 0.000 Bohr magnetons per cell
data_Re3Au
_chemical_formula_sum 'Re6 Au2'
_cell_length_a 5.009
_cell_length_b 5.009
_cell_length_c 5.009
_cell_angle_alpha 90.00
_cell_angle_beta 90.00
_cell_angle_gamma 90.00
_space_group_name_H-M_alt 'P m -3 n'
_space_group_IT_number 223
_space_group_name_Hall '-P 4n 2 3'
loop_
_atom_site_label
_atom_site_fract_x
_atom_site_fract_y
_atom_site_fract_z
Re1 0.000 0.250 0.500
Au1 0.000 0.000 0.000

***

Entry 4:
# KNiAg2, optimized geometry, DFT PBE
# Relative energy among the computed polymorphs ... 86 kJ/mol of formula units
# Energy of formation ... 0.5399 eV/atom
# Volume ... 157 Å³ per cell
# Total magnetic moment ... 0.373 Bohr magnetons per cell
data_KNiAg2
_chemical_formula_sum 'K2 Ni2 Ag4'
_cell_length_a 6.023
_cell_length_b 8.796
_cell_length_c 2.968
_cell_angle_alpha 90.00
_cell_angle_beta 90.00
_cell_angle_gamma 90.00
_space_group_name_H-M_alt 'C m m m'
_space_group_IT_number 65
_space_group_name_Hall '-C 2 2'
loop_
_atom_site_label
_atom_site_fract_x
_atom_site_fract_y
_atom_site_fract_z
K1 0.000 0.000 0.000
Ni1 0.000 0.500 0.000
Ag1 0.250 0.250 0.500